1.
The following is a DFT calculation (PBE) of a relaxed Y5TlRh4 crystal.

ΔE_f   -0.74 eV per atom

Structure (POSCAR):
```
Y5TlRh4
1.0
-1.943 -2.735 -0.987
1.245 0.291 -3.255
13.352 -10.977 4.125
Y Tl Rh
5 1 4
direct
0.500 0.500 0.122
0.500 0.500 0.310
0.500 0.500 0.500
0.500 0.500 0.690
0.500 0.500 0.878
0.000 0.000 0.000
0.000 0.000 0.214
0.000 0.000 0.405
0.000 0.000 0.595
0.000 0.000 0.786
```

***

2.
The following is a DFT calculation (PBE) of a relaxed NiRhPb2 crystal.

Relative energy among the computed polymorphs   161 meV/atom
ΔE_f   0.22 eV per atom

Structure (POSCAR):
```
NiRhPb2
1.0
4.626 0.000 0.000
0.000 4.968 0.000
0.000 0.000 3.335
Ni Pb Rh
1 2 1
direct
0.000 0.500 0.500
0.000 0.000 0.000
0.500 0.500 0.000
0.500 0.000 0.500
```

***

3.
The following is a DFT calculation (PBE) of a relaxed Rb2GaAgAu crystal.

ΔE_f   0.04 eV per atom

Structure (POSCAR):
```
Rb2GaAgAu
1.0
6.627 0.000 0.000
0.000 6.627 0.000
0.000 0.000 4.900
Ga Au Rb Ag
1 1 2 1
direct
0.000 0.000 0.500
0.000 0.000 0.000
0.000 0.500 0.000
0.500 0.000 0.000
0.500 0.500 0.500
```

***

4.
The following is a DFT calculation (PBE) of a relaxed NbSi3Ni crystal.

ΔE_f (raw)   1.1110 eV per atom

Structure (POSCAR):
```
NbSi3Ni
1.0
-1.403 4.519 0.881
-2.815 -0.113 -3.902
-3.643 -1.652 2.676
Ni Nb Si
1 1 3
direct
0.500 0.500 0.500
0.000 0.000 0.000
0.000 0.500 0.000
0.000 0.000 0.500
0.500 0.000 0.000
```

***

5.
The following is a DFT calculation (PBE) of a relaxed HfZrSc2 crystal.

Relative energy among the computed polymorphs   522 meV/atom
ΔE_f   0.55 eV per atom

Structure (POSCAR):
```
HfZrSc2
1.0
7.917 0.000 0.000
0.000 7.917 0.000
3.959 3.959 3.015
Sc Hf Zr
4 2 2
direct
0.624 0.125 0.250
0.126 0.625 0.250
0.375 0.376 0.750
0.875 0.874 0.750
0.000 0.000 0.000
0.750 0.250 0.500
0.500 0.500 0.000
0.250 0.750 0.500
```

***

6.
The following is a DFT calculation (PBE) of a relaxed Ac2PmTlO6 crystal.

ΔE_f (raw)   -2.6651 eV per atom

Structure (POSCAR):
```
Ac2PmTlO6
1.0
6.061 0.000 -0.071
0.000 6.293 0.000
-0.050 0.000 8.872
Ac Pm Tl O
4 2 2 12
direct
0.018 0.946 0.247
0.518 0.554 0.747
0.982 0.054 0.753
0.482 0.446 0.253
0.500 0.000 0.000
0.000 0.500 0.500
0.500 0.000 0.500
0.000 0.500 0.000
0.299 0.699 0.072
0.799 0.801 0.572
0.701 0.301 0.928
0.201 0.199 0.428
0.307 0.698 0.434
0.807 0.802 0.934
0.693 0.302 0.566
0.193 0.198 0.066
0.870 0.561 0.251
0.370 0.939 0.751
0.130 0.439 0.749
0.630 0.061 0.249
```

***

7.
The following is a DFT calculation (PBE) of a relaxed Ac3Pr4 crystal.

ΔE_f   0.03 eV per atom

Structure (POSCAR):
```
Ac3Pr4
1.0
-1.975 -3.560 3.632
2.546 -6.528 -5.015
5.974 2.380 1.483
Ac Pr
3 4
direct
0.000 0.000 0.000
0.574 0.715 0.148
0.426 0.285 0.852
0.856 0.567 0.713
0.144 0.433 0.287
0.713 0.147 0.426
0.287 0.853 0.574
```

***

8.
The following is a DFT calculation (PBE) of a relaxed Li6CaPb6 crystal.

Relative energy among the computed polymorphs   2 meV/atom
ΔE_f   -0.29 eV per atom

Structure (POSCAR):
```
Li6CaPb6
1.0
-4.320 -1.753 3.737
-6.349 -2.353 -3.666
0.162 -7.567 1.415
Li Ca Pb
6 1 6
direct
0.000 0.500 0.000
0.500 0.500 0.000
0.000 0.000 0.500
0.500 0.000 0.500
0.500 0.753 0.247
0.500 0.247 0.753
0.000 0.000 0.000
0.339 0.661 0.661
0.661 0.339 0.339
0.000 0.344 0.656
0.000 0.656 0.344
0.331 0.169 0.169
0.669 0.831 0.831
```

***

9.
The following is a DFT calculation (PBE) of a relaxed Hf4TaGa2 crystal.

ΔE_f   0.08 eV per atom

Structure (POSCAR):
```
Hf4TaGa2
1.0
-0.288 -0.463 4.781
3.179 -2.747 2.347
5.577 5.009 3.243
Hf Ta Ga
4 1 2
direct
0.734 0.734 0.799
0.867 0.867 0.398
0.266 0.266 0.201
0.133 0.133 0.602
0.500 0.500 0.500
0.615 0.615 0.156
0.385 0.385 0.844
```

***

10.
The following is a DFT calculation (PBE) of a relaxed Sm3Y4Ho5 crystal.

Relative energy among the computed polymorphs   212 meV/atom
ΔE_f   0.23 eV per atom

Structure (POSCAR):
```
Sm3Y4Ho5
1.0
5.912 0.000 0.000
2.956 7.503 -2.747
2.956 -0.770 9.151
Sm Y Ho
3 4 5
direct
0.524 0.685 0.268
0.000 0.500 0.500
0.476 0.315 0.732
0.859 0.222 0.060
0.168 0.041 0.622
0.832 0.959 0.378
0.141 0.778 0.940
0.624 0.950 0.803
0.500 0.500 0.500
0.214 0.458 0.113
0.786 0.542 0.887
0.376 0.050 0.197
```

***

11.
The following is a DFT calculation (PBE) of a relaxed PbC crystal.

Relative energy among the computed polymorphs   0 meV/atom
ΔE_f   0.85 eV per atom

Structure (POSCAR):
```
PbC
1.0
1.433 -4.957 3.471
4.578 -3.790 1.830
3.508 0.207 6.875
Pb C
3 3
direct
0.633 0.633 0.173
0.985 0.985 0.676
0.825 0.825 0.360
0.211 0.211 0.624
0.273 0.273 0.901
0.239 0.239 0.766
```

***

12.
The following is a DFT calculation (PBE) of a relaxed SrRe2P crystal.

ΔE_f   0.17 eV per atom

Structure (POSCAR):
```
SrRe2P
1.0
3.022 0.000 0.000
0.000 3.022 0.000
0.000 0.000 7.880
Sr Re P
1 2 1
direct
0.000 0.000 0.512
0.000 0.000 0.980
0.500 0.500 0.195
0.500 0.500 0.813
```

***

13.
The following is a DFT calculation (PBE) of a relaxed PmY crystal.

Relative energy among the computed polymorphs   3 meV/atom
ΔE_f   0.02 eV per atom

Structure (POSCAR):
```
PmY
1.0
-3.414 -0.813 -1.053
2.637 0.427 -2.507
1.239 -5.642 0.342
Y Pm
1 1
direct
0.667 0.333 0.000
0.000 0.000 0.500
```

***

14.
The following is a DFT calculation (PBE) of a relaxed Pa2SbRh2 crystal.

Relative energy among the computed polymorphs   0 meV/atom
ΔE_f (raw)   -0.8408 eV per atom

Structure (POSCAR):
```
Pa2SbRh2
1.0
3.741 0.000 0.000
0.000 7.549 0.000
0.000 0.000 7.549
Pa Sb Rh
4 2 4
direct
0.500 0.175 0.675
0.500 0.675 0.825
0.500 0.825 0.325
0.500 0.325 0.175
0.000 0.000 0.000
0.000 0.500 0.500
0.000 0.368 0.868
0.000 0.868 0.632
0.000 0.632 0.132
0.000 0.132 0.368
```

***

15.
The following is a DFT calculation (PBE) of a relaxed LiAlRh2O6 crystal.

ΔE_f (raw)   -0.8504 eV per atom

Structure (POSCAR):
```
LiAlRh2O6
1.0
4.707 0.000 0.000
0.000 4.955 0.000
0.000 0.000 4.955
Li Al Rh O
1 1 2 6
direct
0.572 0.500 0.500
0.593 0.000 0.000
0.955 0.500 0.000
0.955 0.000 0.500
0.746 0.245 0.245
0.746 0.245 0.755
0.169 0.500 0.500
0.220 0.000 0.000
0.746 0.755 0.755
0.746 0.755 0.245
```

***

16.
The following is a DFT calculation (PBE) of a relaxed SeCl6 crystal.

ΔE_f (raw)   -0.1137 eV per atom

Structure (POSCAR):
```
SeCl6
1.0
5.387 0.000 0.000
0.000 11.118 0.000
0.000 0.000 17.227
Se Cl
4 24
direct
0.300 0.250 0.673
0.700 0.750 0.327
0.800 0.750 0.827
0.200 0.250 0.173
0.815 0.250 0.440
0.185 0.750 0.560
0.315 0.750 0.060
0.685 0.250 0.940
0.374 0.250 0.876
0.626 0.750 0.124
0.874 0.750 0.624
0.126 0.250 0.376
0.399 0.390 0.581
0.601 0.610 0.419
0.899 0.610 0.919
0.601 0.890 0.419
0.101 0.390 0.081
0.399 0.110 0.581
0.101 0.110 0.081
0.899 0.890 0.919
0.019 0.389 0.716
0.981 0.611 0.284
0.519 0.611 0.784
0.981 0.889 0.284
0.481 0.389 0.216
0.019 0.111 0.716
0.481 0.111 0.216
0.519 0.889 0.784
```

***

17.
The following is a DFT calculation (PBE) of a relaxed AgHgRu crystal.

Relative energy among the computed polymorphs   0 meV/atom
ΔE_f   0.50 eV per atom

Structure (POSCAR):
```
AgHgRu
1.0
2.911 0.000 0.000
-1.456 2.521 0.000
0.000 0.000 7.192
Ag Hg Ru
1 1 1
direct
0.000 0.000 0.989
0.667 0.333 0.341
0.333 0.667 0.670
```

***

18.
The following is a DFT calculation (PBE) of a relaxed BeNb2Tc crystal.

ΔE_f   0.50 eV per atom

Structure (POSCAR):
```
BeNb2Tc
1.0
-2.354 4.585 4.750
3.314 -3.541 5.060
2.578 1.971 4.546
Be Nb Tc
2 4 2
direct
0.500 0.500 0.000
0.250 0.750 0.500
0.602 0.125 0.250
0.148 0.625 0.250
0.375 0.398 0.750
0.875 0.852 0.750
0.000 0.000 0.000
0.750 0.250 0.500
```

***

19.
The following is a DFT calculation (PBE) of a relaxed TiIn2Rh crystal.

ΔE_f   -0.21 eV per atom

Structure (POSCAR):
```
TiIn2Rh
1.0
-0.328 -3.410 2.313
4.180 -0.362 0.058
0.154 2.344 3.477
Ti Rh In
1 1 2
direct
0.500 0.000 0.000
0.500 0.500 0.500
0.000 0.000 0.500
0.000 0.500 0.000
```

***

20.
The following is a DFT calculation (PBE) of a relaxed RbLiMo3 crystal.

Relative energy among the computed polymorphs   0 meV/atom
ΔE_f   2.30 eV per atom

Structure (POSCAR):
```
RbLiMo3
1.0
-1.990 2.448 3.389
-4.149 -1.613 -1.272
0.508 -3.584 2.887
Mo Rb Li
3 1 1
direct
0.000 0.500 0.000
0.000 0.000 0.500
0.500 0.000 0.000
0.500 0.500 0.500
0.000 0.000 0.000
```

***

21.
The following is a DFT calculation (PBE) of a relaxed La5Sm2Tm6 crystal.

ΔE_f   0.10 eV per atom

Structure (POSCAR):
```
La5Sm2Tm6
1.0
3.619 0.000 0.000
0.000 11.678 0.000
0.000 0.000 20.719
La Sm Tm
10 4 12
direct
0.500 0.299 0.452
0.500 0.701 0.548
0.500 0.799 0.048
0.500 0.201 0.952
0.500 0.576 0.273
0.500 0.424 0.727
0.500 0.076 0.227
0.500 0.924 0.773
0.500 0.500 0.000
0.500 0.000 0.500
0.000 0.324 0.288
0.000 0.676 0.712
0.000 0.824 0.212
0.000 0.176 0.788
0.000 0.077 0.368
0.000 0.923 0.632
0.000 0.577 0.132
0.000 0.423 0.868
0.500 0.320 0.137
0.500 0.680 0.863
0.500 0.820 0.363
0.500 0.180 0.637
0.000 0.562 0.419
0.000 0.438 0.581
0.000 0.062 0.081
0.000 0.938 0.919
```

***

22.
The following is a DFT calculation (PBE) of a relaxed NbAlReTc crystal.

ΔE_f   -0.26 eV per atom

Structure (POSCAR):
```
NbAlReTc
1.0
-3.834 2.173 0.509
-3.810 -2.256 0.261
-2.184 -0.227 3.854
Re Nb Tc Al
1 1 1 1
direct
0.750 0.750 0.750
0.000 0.000 0.000
0.250 0.250 0.250
0.500 0.500 0.500
```

***

23.
The following is a DFT calculation (PBE) of a relaxed PrErS crystal.

Relative energy among the computed polymorphs   0 meV/atom
ΔE_f (raw)   -1.2344 eV per atom

Structure (POSCAR):
```
PrErS
1.0
6.507 0.000 0.000
0.000 3.846 0.000
0.000 -1.923 3.331
Pr S Er
1 1 1
direct
0.601 0.667 0.333
0.320 0.333 0.667
0.079 0.000 0.000
```